[1]
The following is a DFT calculation (GGA-PBE) of a relaxed Ba2CdMo crystal.

Calculated values
Electronic total energy ... -3.2990 eV per atom
ΔE_f ... 0.599 eV/atom
V ... 35.72 Å³ per atom
SG ... P4mm (99)

Cell: 3.8690 3.8690 9.5448 Å, 90.00 90.00 90.00°
Last column: nearest neighbours and their distance in Å.
Positions (direct):
Ba  0.0000  0.0000  0.0000  1 Cd 3.36, 4 Mo 3.59
Ba  0.5000  0.5000  0.4066  1 Mo 3.34, 4 Cd 3.58
Cd  0.0000  0.0000  0.6484  4 Mo 2.92
Mo  0.5000  0.5000  0.7565  4 Cd 2.92

---

[2]
The following is a DFT calculation (GGA-PBE) of a relaxed LiCu2Ru crystal.

Calculated values
Electronic total energy ... -4.7020 eV per atom
ΔE_f ... 0.144 eV/atom
V ... 12.81 Å³ per atom
ΔE to the lowest computed polymorph ... 0.43 eV/f.u.
SG ... Pmmm (47)

Cell: 2.4962 3.9719 5.1676 Å, 90.00 90.00 90.00°
Last column: nearest neighbours and their distance in Å.
Positions (direct):
Li  0.0000  0.0000  0.0000  2 Li 2.50, 2 Ru 2.58, 8 Cu 2.69
Cu  0.5000  0.5000  0.2543  4 Cu 2.50-2.63, 4 Ru 2.67, 4 Li 2.69
Cu  0.5000  0.5000  0.7457  4 Cu 2.50-2.63, 4 Ru 2.67, 4 Li 2.69
Ru  0.0000  0.0000  0.5000  2 Ru 2.50, 2 Li 2.58, 8 Cu 2.67

---

[3]
The following is a DFT calculation (GGA-PBE) of a relaxed Cs2PmCu2Cl6 crystal.

Calculated values
Electronic total energy ... -3.8088 eV per atom
Energy relative to the elements, uncorrected ... -1.4697 eV per atom
V ... 35.08 Å³ per atom
SG ... C2/m (12)

Cell: 8.2503 8.2503 8.6267 Å, 118.55 118.55 50.74°
Last column: nearest neighbours and their distance in Å.
Positions (direct):
Cs  0.2039  0.2039  0.2276  7 Cl 3.54-3.73, 1 Cu 3.82
Cs  0.7961  0.7961  0.7724  7 Cl 3.54-3.73, 1 Cu 3.82
Pm  0.0000  0.0000  0.5000  6 Cl 2.70-2.81
Cu  0.4905  0.4905  0.3518  2 Cl 2.22, 1 Cu 2.42
Cu  0.5095  0.5095  0.6482  2 Cl 2.22, 1 Cu 2.42
Cl  0.2015  0.7460  0.2117  1 Cu 2.22
Cl  0.2109  0.2109  0.6445  1 Pm 2.70
Cl  0.2540  0.7985  0.7883  1 Cu 2.22
Cl  0.7460  0.2015  0.2117  1 Cu 2.22
Cl  0.7891  0.7891  0.3555  1 Pm 2.70
Cl  0.7985  0.2540  0.7883  1 Cu 2.22

---

[4]
The following is a DFT calculation (GGA-PBE) of a relaxed Tb2YTm3 crystal.

Calculated values
Electronic total energy ... -4.7378 eV per atom
ΔE_f ... 0.119 eV/atom
V ... 31.69 Å³ per atom
ΔE to the lowest computed polymorph ... 0.56 eV/f.u.
SG ... C2/m (12)

Cell: 8.9714 8.9714 14.0118 Å, 116.93 116.93 22.34°
Last column: nearest neighbours and their distance in Å.
Positions (direct):
Tb  0.1580  0.1580  0.4688  5 Tm 3.37-3.67, 4 Tb 3.42-3.48, 2 Y 3.44-3.57
Tb  0.3192  0.3192  0.1161  5 Tm 3.37-3.48, 4 Tb 3.48-3.50, 2 Y 3.50
Tb  0.6808  0.6808  0.8839  5 Tm 3.37-3.48, 4 Tb 3.48-3.50, 2 Y 3.50
Tb  0.8420  0.8420  0.5312  5 Tm 3.37-3.67, 4 Tb 3.42-3.48, 2 Y 3.44-3.57
Y  0.0618  0.0618  0.6439  4 Tb 3.44-3.57, 3 Y 3.48-3.59, 4 Tm 3.65-3.71
Y  0.9382  0.9382  0.3561  4 Tb 3.44-3.57, 3 Y 3.48-3.59, 4 Tm 3.65-3.71
Tm  0.0985  0.0985  0.0253  6 Tm 3.20-3.53, 3 Tb 3.42-3.48
Tm  0.2384  0.2384  0.2919  4 Tb 3.37-3.46, 5 Tm 3.39-3.59, 2 Y 3.65
Tm  0.4601  0.4601  0.7893  8 Tm 3.48-3.65, 3 Tb 3.48-3.67, 2 Y 3.71
Tm  0.5399  0.5399  0.2107  8 Tm 3.48-3.65, 3 Tb 3.48-3.67, 2 Y 3.71
Tm  0.7616  0.7616  0.7081  4 Tb 3.37-3.46, 5 Tm 3.39-3.59, 2 Y 3.65
Tm  0.9015  0.9015  0.9747  6 Tm 3.20-3.53, 3 Tb 3.42-3.48

---

[5]
The following is a DFT calculation (GGA-PBE) of a relaxed FeP2Br crystal.

Calculated values
Electronic total energy ... -5.2051 eV per atom
Energy relative to the elements, uncorrected ... 0.0338 eV per atom
V ... 17.80 Å³ per atom
ΔE to the lowest computed polymorph ... 0.51 eV/f.u.
SG ... C2/m (12)

Cell: 6.8786 3.1683 7.2698 Å, 90.00 116.01 90.00°
Last column: nearest neighbours and their distance in Å.
Positions (direct):
Fe  0.0000  0.0000  0.0000  6 P 2.24-2.30
Fe  0.5000  0.5000  0.0000  6 P 2.24-2.30
P  0.1384  0.5000  0.8609  3 Fe 2.24-2.30, 2 P 2.50
P  0.3616  0.0000  0.1391  3 Fe 2.24-2.30, 2 P 2.50
P  0.6384  0.0000  0.8609  3 Fe 2.24-2.30, 2 P 2.50
P  0.8616  0.5000  0.1391  3 Fe 2.24-2.30, 2 P 2.50
Br  0.0000  0.0000  0.5000  4 P 2.85, 2 Br 3.17
Br  0.5000  0.5000  0.5000  4 P 2.85, 2 Br 3.17

---

[6]
The following is a DFT calculation (GGA-PBE) of a relaxed RbHoPuCl6 crystal.

Calculated values
Electronic total energy ... -5.5042 eV per atom
Energy relative to the elements, uncorrected ... -2.0645 eV per atom
V ... 35.81 Å³ per atom
SG ... P-31c (163)

Cell: 7.1895 7.1895 14.3990 Å, 90.00 90.00 120.00°
Last column: nearest neighbours and their distance in Å.
Positions (direct):
Rb  0.0000  0.0000  0.0000  6 Cl 3.37
Rb  0.0000  0.0000  0.5000  6 Cl 3.37
Ho  0.3333  0.6667  0.2500  6 Cl 2.66
Ho  0.6667  0.3333  0.7500  6 Cl 2.66
Pu  0.3333  0.6667  0.7500  6 Cl 2.84
Pu  0.6667  0.3333  0.2500  6 Cl 2.84
Cl  0.0197  0.3799  0.1430  1 Ho 2.66, 1 Pu 2.84
Cl  0.0197  0.6398  0.3570  1 Ho 2.66, 1 Pu 2.84
Cl  0.3602  0.3799  0.3570  1 Ho 2.66, 1 Pu 2.84
Cl  0.3602  0.9803  0.1430  1 Ho 2.66, 1 Pu 2.84
Cl  0.3799  0.0197  0.6430  1 Ho 2.66, 1 Pu 2.84
Cl  0.3799  0.3602  0.8570  1 Ho 2.66, 1 Pu 2.84
Cl  0.6201  0.6398  0.1430  1 Ho 2.66, 1 Pu 2.84
Cl  0.6201  0.9803  0.3570  1 Ho 2.66, 1 Pu 2.84
Cl  0.6398  0.0197  0.8570  1 Ho 2.66, 1 Pu 2.84
Cl  0.6398  0.6201  0.6430  1 Ho 2.66, 1 Pu 2.84
Cl  0.9803  0.3602  0.6430  1 Ho 2.66, 1 Pu 2.84
Cl  0.9803  0.6201  0.8570  1 Ho 2.66, 1 Pu 2.84

---

[7]
The following is a DFT calculation (GGA-PBE) of a relaxed HoFe4 crystal.

Calculated values
Electronic total energy ... -5.7321 eV per atom
ΔE_f ... 1.954 eV/atom
V ... 19.35 Å³ per atom
SG ... Pm-3m (221)

Cell: 4.5906 4.5906 4.5906 Å, 90.00 90.00 90.00°
Last column: nearest neighbours and their distance in Å.
Positions (direct):
Ho  0.0000  0.0000  0.0000  6 Fe 2.30
Fe  0.0000  0.0000  0.5000  2 Ho 2.30
Fe  0.0000  0.5000  0.0000  2 Ho 2.30
Fe  0.5000  0.0000  0.0000  2 Ho 2.30
Fe  0.5000  0.5000  0.5000  12 Fe 3.25

---

[8]
The following is a DFT calculation (GGA-PBE) of a relaxed Sr3La2Cd3 crystal.

Calculated values
Electronic total energy ... -2.4323 eV per atom
ΔE_f ... -0.227 eV/atom
V ... 35.02 Å³ per atom
SG ... Immm (71)

Cell: 4.0066 5.8007 24.1119 Å, 90.00 90.00 90.00°
Last column: nearest neighbours and their distance in Å.
Positions (direct):
Sr  0.0000  0.0000  0.0000  8 Cd 3.52-3.58
Sr  0.0000  0.5000  0.1189  6 Cd 3.50-3.53
Sr  0.0000  0.5000  0.8811  6 Cd 3.50-3.53
Sr  0.5000  0.0000  0.3811  6 Cd 3.50-3.53
Sr  0.5000  0.0000  0.6189  6 Cd 3.50-3.53
Sr  0.5000  0.5000  0.5000  8 Cd 3.52-3.58
La  0.0000  0.0000  0.2335  2 Cd 3.33, 4 La 3.61
La  0.0000  0.0000  0.7665  2 Cd 3.33, 4 La 3.61
La  0.5000  0.5000  0.2665  2 Cd 3.33, 4 La 3.61
La  0.5000  0.5000  0.7335  2 Cd 3.33, 4 La 3.61
Cd  0.0000  0.0000  0.5000  8 Sr 3.50-3.52
Cd  0.0000  0.5000  0.3768  2 La 3.33, 6 Sr 3.53-3.58
Cd  0.0000  0.5000  0.6232  2 La 3.33, 6 Sr 3.53-3.58
Cd  0.5000  0.0000  0.1232  2 La 3.33, 6 Sr 3.53-3.58
Cd  0.5000  0.0000  0.8768  2 La 3.33, 6 Sr 3.53-3.58
Cd  0.5000  0.5000  0.0000  8 Sr 3.50-3.52

---

[9]
The following is a DFT calculation (GGA-PBE) of a relaxed Zr3FeNi crystal.

Calculated values
Electronic total energy ... -7.5231 eV per atom
ΔE_f ... 0.455 eV/atom
V ... 21.45 Å³ per atom
ΔE to the lowest computed polymorph ... 0.00 eV/f.u.
SG ... Pm-3m (221)

Cell: 4.7514 4.7514 4.7514 Å, 90.00 90.00 90.00°
Last column: nearest neighbours and their distance in Å.
Positions (direct):
Zr  0.0000  0.0000  0.5000  2 Fe 2.38
Zr  0.0000  0.5000  0.0000  2 Fe 2.38
Zr  0.5000  0.0000  0.0000  2 Fe 2.38
Fe  0.0000  0.0000  0.0000  6 Zr 2.38
Ni  0.5000  0.5000  0.5000  12 Zr 3.36

---

[10]
The following is a DFT calculation (GGA-PBE) of a relaxed Rb2DyThS4 crystal.

Calculated values
Electronic total energy ... -5.5518 eV per atom
Energy relative to the elements, uncorrected ... -1.7435 eV per atom
V ... 28.31 Å³ per atom
SG ... P2/m (10)

Cell: 7.1161 4.1099 8.0933 Å, 90.00 106.93 90.00°
Last column: nearest neighbours and their distance in Å.
Positions (direct):
Rb  0.0000  0.0000  0.0000  6 S 3.31-3.33
Rb  0.5000  0.5000  0.0000  6 S 3.34-3.36
Dy  0.0000  0.5000  0.5000  6 S 2.80
Th  0.5000  0.0000  0.5000  6 S 2.82-2.85
S  0.2289  0.0000  0.6947  2 Dy 2.80, 1 Th 2.82
S  0.2620  0.5000  0.3004  1 Dy 2.80, 2 Th 2.85
S  0.7380  0.5000  0.6996  1 Dy 2.80, 2 Th 2.85
S  0.7711  0.0000  0.3053  2 Dy 2.80, 1 Th 2.82